No. 1
Computed, not measured: an optimized crystal structure of BaPr2GeO5 at the PBE level of DFT.

Summary:
Total moment   0.00 μB per atom
DFT total energy   -126.59 eV for the cell shown

The structure in CIF format:
```
data_BaPr2GeO5
_chemical_formula_sum 'Ba2 Pr4 Ge2 O10'
_cell_length_a 6.8984
_cell_length_b 6.8984
_cell_length_c 6.1786
_cell_angle_alpha 90.00
_cell_angle_beta 90.00
_cell_angle_gamma 90.00
_space_group_name_H-M_alt 'P 4/m b m'
_space_group_IT_number 127
_space_group_name_Hall '-P 4 2ab'
loop_
_atom_site_label
_atom_site_type_symbol
_atom_site_fract_x
_atom_site_fract_y
_atom_site_fract_z
Ba1 Ba 0.0000 0.0000 0.0000
Pr1 Pr 0.1724 0.3276 0.5000
Ge1 Ge 0.0000 0.5000 0.0000
O1 O 0.0000 0.0000 0.5000
O2 O 0.1443 0.6443 0.2538
```

=====

No. 2
Computed, not measured: an optimized crystal structure of BaGePtO6 at the PBE level of DFT.

Summary:
Total moment   0.22 μB per atom
DFT total energy   -54.61 eV for the cell shown

The structure in CIF format:
```
data_BaGePtO6
_chemical_formula_sum 'Ba1 Ge1 Pt1 O6'
_cell_length_a 5.2000
_cell_length_b 5.2000
_cell_length_c 5.8815
_cell_angle_alpha 90.00
_cell_angle_beta 90.00
_cell_angle_gamma 120.00
_space_group_name_H-M_alt 'P 3 1 2'
_space_group_IT_number 149
_space_group_name_Hall 'P 3 2'
loop_
_atom_site_label
_atom_site_type_symbol
_atom_site_fract_x
_atom_site_fract_y
_atom_site_fract_z
Ba1 Ba 0.0000 0.0000 0.0000
Ge1 Ge 0.6667 0.3333 0.5000
Pt1 Pt 0.3333 0.6667 0.5000
O1 O 0.3834 0.0076 0.6847
```

=====

Summary of raw formation energy in eV/f.u.
-22.41 -12.28
(order as listed above)